Here is an optimized crystal structure of InTc2Ge2 from Alexandria via LeMat-Bulk. Energies are from PBE.

Unit cell a=7.353 b=7.353 c=3.006 alpha=90.00 beta=90.00 gamma=90.00
Space group P4/mbm (No. 127)
One atom of each set of equivalent atoms:
In: 0.000 0.000 0.000 x2
Tc: 0.155 0.345 0.500 x4
Ge: 0.138 0.638 0.000 x4

Properties
As for the energy above the most stable polymorph in this dataset: 3.48 kcal/mol of atoms. As for the spin magnetization: 0.0 μB/cell. As for the calculated total energy: -63.8 eV/cell. The formation energy from the elements is 165 meV per atom.